# Cu2BrF, relaxed, DFT PBE-GGA
# Volume = 73.1 Å³ per cell
# Energy = -3.4713 eV/atom
# Calculated density = 5.133 g/cm3
# Relative energy among the computed polymorphs = 0 meV per atom
data_Cu2BrF
_chemical_formula_sum 'Cu2 Br1 F1'
_space_group_name_H-M_alt 'P 1'
_space_group_IT_number 1
_cell_length_a 3.916
_cell_length_b 3.958
_cell_length_c 5.478
_cell_angle_alpha 82.64
_cell_angle_beta 89.98
_cell_angle_gamma 60.51
loop_
_space_group_symop_operation_xyz
'x,y,z'
loop_
_atom_site_label
_atom_site_type_symbol
_atom_site_fract_x
_atom_site_fract_y
_atom_site_fract_z
Cu1 Cu 0.000 0.000 0.000
Cu2 Cu 0.295 0.406 0.348
Br1 Br 0.286 0.429 0.808
F1 F 0.854 0.286 0.308